Version w
Here is USnTe3 after structural relaxation from Alexandria. Energies are from PBE-GGA.

Properties
N(E_F) = 12.27 states/eV per cell
Space-group type = P2_1/m (11)
Density = 7.56 Mg/m³
M_tot = 2.01 μB/f.u.

Structure (CIF):
```
data_USnTe3
_cell_length_a 8.6923
_cell_length_b 4.2384
_cell_length_c 9.4227
_cell_angle_alpha 90.00
_cell_angle_beta 110.65
_cell_angle_gamma 90.00
_space_group_name_H-M_alt 'P 1'
_space_group_IT_number 1
loop_
_space_group_symop_operation_xyz
'x,y,z'
loop_
_atom_site_label
_atom_site_type_symbol
_atom_site_fract_x
_atom_site_fract_y
_atom_site_fract_z
U1 U 0.0193 0.2500 0.2342
U2 U 0.9807 0.7500 0.7658
Sn1 Sn 0.4333 0.7500 0.7017
Sn2 Sn 0.5667 0.2500 0.2983
Te1 Te 0.1482 0.2500 0.6061
Te2 Te 0.1919 0.2500 0.9926
Te3 Te 0.3084 0.7500 0.3573
Te4 Te 0.6916 0.2500 0.6427
Te5 Te 0.8081 0.7500 0.0074
Te6 Te 0.8518 0.7500 0.3939
```

Version x
Here is USnTe3 after structural relaxation from Alexandria. Energies are from PBE-GGA.

Properties
N(E_F) = 14.88 states/eV per cell
Space-group type = C2/m (12)
Density = 7.31 Mg/m³
M_tot = 2.00 μB/f.u.

Structure (CIF):
```
data_USnTe3
_cell_length_a 9.6307
_cell_length_b 9.6307
_cell_length_c 8.2463
_cell_angle_alpha 98.64
_cell_angle_beta 98.64
_cell_angle_gamma 26.38
_space_group_name_H-M_alt 'P 1'
_space_group_IT_number 1
loop_
_space_group_symop_operation_xyz
'x,y,z'
loop_
_atom_site_label
_atom_site_type_symbol
_atom_site_fract_x
_atom_site_fract_y
_atom_site_fract_z
U1 U 0.2115 0.2115 0.2431
U2 U 0.7885 0.7885 0.7569
Sn1 Sn 0.4569 0.4569 0.3175
Sn2 Sn 0.5431 0.5431 0.6825
Te1 Te 0.0445 0.0445 0.2094
Te2 Te 0.1821 0.1821 0.6040
Te3 Te 0.3368 0.3368 0.0158
Te4 Te 0.6632 0.6632 0.9842
Te5 Te 0.8179 0.8179 0.3960
Te6 Te 0.9555 0.9555 0.7906
```

Most stable of them? version w.

Version w
Here is VSnTe after structural relaxation from Alexandria. Energies are from PBE-GGA.

Properties
N(E_F) = 3.92 states/eV per cell
Space-group type = P-6m2 (187)
Density = 7.25 Mg/m³
M_tot = 1.05 μB/f.u.

Structure (CIF):
```
data_VSnTe
_cell_length_a 4.6441
_cell_length_b 4.6441
_cell_length_c 3.6462
_cell_angle_alpha 90.00
_cell_angle_beta 90.00
_cell_angle_gamma 120.00
_space_group_name_H-M_alt 'P 1'
_space_group_IT_number 1
loop_
_space_group_symop_operation_xyz
'x,y,z'
loop_
_atom_site_label
_atom_site_type_symbol
_atom_site_fract_x
_atom_site_fract_y
_atom_site_fract_z
V1 V 0.0000 0.0000 0.0000
Sn1 Sn 0.3333 0.6667 0.5000
Te1 Te 0.6667 0.3333 0.0000
```

Version x
Here is VSnTe after structural relaxation from Alexandria. Energies are from PBE-GGA.

Properties
N(E_F) = 11.55 states/eV per cell
Space-group type = Pnma (62)
Density = 7.12 Mg/m³
M_tot = 0.00 μB/f.u.

Structure (CIF):
```
data_VSnTe
_cell_length_a 9.6832
_cell_length_b 4.1037
_cell_length_c 6.9787
_cell_angle_alpha 90.00
_cell_angle_beta 90.00
_cell_angle_gamma 90.00
_space_group_name_H-M_alt 'P 1'
_space_group_IT_number 1
loop_
_space_group_symop_operation_xyz
'x,y,z'
loop_
_atom_site_label
_atom_site_type_symbol
_atom_site_fract_x
_atom_site_fract_y
_atom_site_fract_z
V1 V 0.0625 0.2500 0.0665
V2 V 0.4375 0.7500 0.5665
V3 V 0.5625 0.2500 0.4335
V4 V 0.9375 0.7500 0.9335
Sn1 Sn 0.0080 0.2500 0.6674
Sn2 Sn 0.4920 0.7500 0.1674
Sn3 Sn 0.5080 0.2500 0.8326
Sn4 Sn 0.9920 0.7500 0.3326
Te1 Te 0.2296 0.7500 0.9137
Te2 Te 0.2704 0.2500 0.4137
Te3 Te 0.7296 0.7500 0.5863
Te4 Te 0.7704 0.2500 0.0863
```

Most stable of them? version x.

Version w
Here is VSnTe3 after structural relaxation from Alexandria. Energies are from PBE-GGA.

Properties
N(E_F) = 15.37 states/eV per cell
Space-group type = Pnma (62)
Density = 6.30 Mg/m³
M_tot = 1.52 μB/f.u.

Structure (CIF):
```
data_VSnTe3
_cell_length_a 9.5205
_cell_length_b 3.9175
_cell_length_c 15.6268
_cell_angle_alpha 90.00
_cell_angle_beta 90.00
_cell_angle_gamma 90.00
_space_group_name_H-M_alt 'P 1'
_space_group_IT_number 1
loop_
_space_group_symop_operation_xyz
'x,y,z'
loop_
_atom_site_label
_atom_site_type_symbol
_atom_site_fract_x
_atom_site_fract_y
_atom_site_fract_z
V1 V 0.1306 0.2500 0.0404
V2 V 0.3694 0.7500 0.5404
V3 V 0.6306 0.2500 0.4596
V4 V 0.8694 0.7500 0.9596
Sn1 Sn 0.0164 0.2500 0.6500
Sn2 Sn 0.4836 0.7500 0.1500
Sn3 Sn 0.5164 0.2500 0.8500
Sn4 Sn 0.9836 0.7500 0.3500
Te1 Te 0.0271 0.2500 0.8824
Te2 Te 0.1821 0.2500 0.4869
Te3 Te 0.2377 0.7500 0.6990
Te4 Te 0.2623 0.2500 0.1990
Te5 Te 0.3179 0.7500 0.9869
Te6 Te 0.4729 0.7500 0.3824
Te7 Te 0.5271 0.2500 0.6176
Te8 Te 0.6821 0.2500 0.0131
Te9 Te 0.7377 0.7500 0.8010
Te10 Te 0.7623 0.2500 0.3010
Te11 Te 0.8179 0.7500 0.5131
Te12 Te 0.9729 0.7500 0.1176
```

Version x
Here is VSnTe3 after structural relaxation from Alexandria. Energies are from PBE-GGA.

Properties
N(E_F) = 8.12 states/eV per cell
Space-group type = Pm-3m (221)
Density = 5.06 Mg/m³
M_tot = 2.69 μB/f.u.

Structure (CIF):
```
data_VSnTe3
_cell_length_a 5.6614
_cell_length_b 5.6614
_cell_length_c 5.6614
_cell_angle_alpha 90.00
_cell_angle_beta 90.00
_cell_angle_gamma 90.00
_space_group_name_H-M_alt 'P 1'
_space_group_IT_number 1
loop_
_space_group_symop_operation_xyz
'x,y,z'
loop_
_atom_site_label
_atom_site_type_symbol
_atom_site_fract_x
_atom_site_fract_y
_atom_site_fract_z
V1 V 0.0000 0.0000 0.0000
Sn1 Sn 0.5000 0.5000 0.5000
Te1 Te 0.0000 0.5000 0.5000
Te2 Te 0.5000 0.0000 0.5000
Te3 Te 0.5000 0.5000 0.0000
```

Most stable of them? version w.

Version w
Here is V2SnTe after structural relaxation from Alexandria. Energies are from PBE-GGA.

Properties
N(E_F) = 17.52 states/eV per cell
Space-group type = Fm-3m (225)
Density = 8.04 Mg/m³
M_tot = 0.15 μB/f.u.

Structure (CIF):
```
data_V2SnTe
_cell_length_a 6.5999
_cell_length_b 6.5999
_cell_length_c 6.5999
_cell_angle_alpha 90.00
_cell_angle_beta 90.00
_cell_angle_gamma 90.00
_space_group_name_H-M_alt 'P 1'
_space_group_IT_number 1
loop_
_space_group_symop_operation_xyz
'x,y,z'
loop_
_atom_site_label
_atom_site_type_symbol
_atom_site_fract_x
_atom_site_fract_y
_atom_site_fract_z
V1 V 0.2500 0.2500 0.2500
V2 V 0.2500 0.2500 0.7500
V3 V 0.2500 0.7500 0.2500
V4 V 0.2500 0.7500 0.7500
V5 V 0.7500 0.2500 0.2500
V6 V 0.7500 0.2500 0.7500
V7 V 0.7500 0.7500 0.2500
V8 V 0.7500 0.7500 0.7500
Sn1 Sn 0.0000 0.0000 0.0000
Sn2 Sn 0.0000 0.5000 0.5000
Sn3 Sn 0.5000 0.0000 0.5000
Sn4 Sn 0.5000 0.5000 0.0000
Te1 Te 0.0000 0.0000 0.5000
Te2 Te 0.0000 0.5000 0.0000
Te3 Te 0.5000 0.0000 0.0000
Te4 Te 0.5000 0.5000 0.5000
```

Version x
Here is V2SnTe after structural relaxation from Alexandria. Energies are from PBE-GGA.

Properties
N(E_F) = 26.40 states/eV per cell
Space-group type = I-42d (122)
Density = 6.43 Mg/m³
M_tot = 5.03 μB/f.u.

Structure (CIF):
```
data_V2SnTe
_cell_length_a 7.4362
_cell_length_b 7.4362
_cell_length_c 6.4996
_cell_angle_alpha 90.00
_cell_angle_beta 90.00
_cell_angle_gamma 90.00
_space_group_name_H-M_alt 'P 1'
_space_group_IT_number 1
loop_
_space_group_symop_operation_xyz
'x,y,z'
loop_
_atom_site_label
_atom_site_type_symbol
_atom_site_fract_x
_atom_site_fract_y
_atom_site_fract_z
V1 V 0.2327 0.2500 0.1250
V2 V 0.2500 0.7327 0.3750
V3 V 0.2500 0.7673 0.8750
V4 V 0.2673 0.2500 0.6250
V5 V 0.7327 0.7500 0.6250
V6 V 0.7500 0.2327 0.8750
V7 V 0.7500 0.2673 0.3750
V8 V 0.7673 0.7500 0.1250
Sn1 Sn 0.0000 0.0000 0.5000
Sn2 Sn 0.0000 0.5000 0.7500
Sn3 Sn 0.5000 0.0000 0.2500
Sn4 Sn 0.5000 0.5000 0.0000
Te1 Te 0.0000 0.0000 0.0000
Te2 Te 0.0000 0.5000 0.2500
Te3 Te 0.5000 0.0000 0.7500
Te4 Te 0.5000 0.5000 0.5000
```

Most stable of them? version w.

Version w
Here is Sn3TeW after structural relaxation from Alexandria. Energies are from PBE-GGA.

Properties
N(E_F) = 3.52 states/eV per cell
Space-group type = Pm-3m (221)
Density = 7.30 Mg/m³
M_tot = 1.96 μB/f.u.

Structure (CIF):
```
data_Sn3TeW
_cell_length_a 5.3340
_cell_length_b 5.3340
_cell_length_c 5.3340
_cell_angle_alpha 90.00
_cell_angle_beta 90.00
_cell_angle_gamma 90.00
_space_group_name_H-M_alt 'P 1'
_space_group_IT_number 1
loop_
_space_group_symop_operation_xyz
'x,y,z'
loop_
_atom_site_label
_atom_site_type_symbol
_atom_site_fract_x
_atom_site_fract_y
_atom_site_fract_z
Sn1 Sn 0.0000 0.0000 0.5000
Sn2 Sn 0.0000 0.5000 0.0000
Sn3 Sn 0.5000 0.0000 0.0000
Te1 Te 0.5000 0.5000 0.5000
W1 W 0.0000 0.0000 0.0000
```

Version x
Here is Sn3TeW after structural relaxation from Alexandria. Energies are from PBE-GGA.

Properties
N(E_F) = 7.77 states/eV per cell
Space-group type = Pm-3m (221)
Density = 6.52 Mg/m³
M_tot = 0.00 μB/f.u.

Structure (CIF):
```
data_Sn3TeW
_cell_length_a 5.5396
_cell_length_b 5.5396
_cell_length_c 5.5396
_cell_angle_alpha 90.00
_cell_angle_beta 90.00
_cell_angle_gamma 90.00
_space_group_name_H-M_alt 'P 1'
_space_group_IT_number 1
loop_
_space_group_symop_operation_xyz
'x,y,z'
loop_
_atom_site_label
_atom_site_type_symbol
_atom_site_fract_x
_atom_site_fract_y
_atom_site_fract_z
Sn1 Sn 0.0000 0.0000 0.5000
Sn2 Sn 0.0000 0.5000 0.0000
Sn3 Sn 0.5000 0.0000 0.0000
Te1 Te 0.0000 0.0000 0.0000
W1 W 0.5000 0.5000 0.5000
```

Most stable of them? version w.

Version w
Here is SnTe3W after structural relaxation from Alexandria. Energies are from PBE-GGA.

Properties
N(E_F) = 5.56 states/eV per cell
Space-group type = Pm-3m (221)
Density = 7.45 Mg/m³
M_tot = 0.00 μB/f.u.

Structure (CIF):
```
data_SnTe3W
_cell_length_a 5.3445
_cell_length_b 5.3445
_cell_length_c 5.3445
_cell_angle_alpha 90.00
_cell_angle_beta 90.00
_cell_angle_gamma 90.00
_space_group_name_H-M_alt 'P 1'
_space_group_IT_number 1
loop_
_space_group_symop_operation_xyz
'x,y,z'
loop_
_atom_site_label
_atom_site_type_symbol
_atom_site_fract_x
_atom_site_fract_y
_atom_site_fract_z
Sn1 Sn 0.0000 0.0000 0.0000
Te1 Te 0.0000 0.5000 0.5000
Te2 Te 0.5000 0.0000 0.5000
Te3 Te 0.5000 0.5000 0.0000
W1 W 0.5000 0.5000 0.5000
```

Version x
Here is SnTe3W after structural relaxation from Alexandria. Energies are from PBE-GGA.

Properties
N(E_F) = 12.49 states/eV per cell
Space-group type = Pm-3m (221)
Density = 6.91 Mg/m³
M_tot = 0.00 μB/f.u.

Structure (CIF):
```
data_SnTe3W
_cell_length_a 5.4826
_cell_length_b 5.4826
_cell_length_c 5.4826
_cell_angle_alpha 90.00
_cell_angle_beta 90.00
_cell_angle_gamma 90.00
_space_group_name_H-M_alt 'P 1'
_space_group_IT_number 1
loop_
_space_group_symop_operation_xyz
'x,y,z'
loop_
_atom_site_label
_atom_site_type_symbol
_atom_site_fract_x
_atom_site_fract_y
_atom_site_fract_z
Sn1 Sn 0.0000 0.0000 0.0000
Te1 Te 0.0000 0.0000 0.5000
Te2 Te 0.0000 0.5000 0.0000
Te3 Te 0.5000 0.0000 0.0000
W1 W 0.5000 0.5000 0.5000
```

Most stable of them? version w.

Version w
Here is YSn3Te after structural relaxation from Alexandria. Energies are from PBE-GGA.

Properties
N(E_F) = 6.88 states/eV per cell
Space-group type = Pm-3m (221)
Density = 5.12 Mg/m³
M_tot = 0.00 μB/f.u.

Structure (CIF):
```
data_YSn3Te
_cell_length_a 5.7055
_cell_length_b 5.7055
_cell_length_c 5.7055
_cell_angle_alpha 90.00
_cell_angle_beta 90.00
_cell_angle_gamma 90.00
_space_group_name_H-M_alt 'P 1'
_space_group_IT_number 1
loop_
_space_group_symop_operation_xyz
'x,y,z'
loop_
_atom_site_label
_atom_site_type_symbol
_atom_site_fract_x
_atom_site_fract_y
_atom_site_fract_z
Y1 Y 0.0000 0.0000 0.0000
Sn1 Sn 0.0000 0.5000 0.5000
Sn2 Sn 0.5000 0.0000 0.5000
Sn3 Sn 0.5000 0.5000 0.0000
Te1 Te 0.5000 0.5000 0.5000
```

Version x
Here is YSn3Te after structural relaxation from Alexandria. Energies are from PBE-GGA.

Properties
N(E_F) = 5.46 states/eV per cell
Space-group type = Pm-3m (221)
Density = 4.77 Mg/m³
M_tot = 0.00 μB/f.u.

Structure (CIF):
```
data_YSn3Te
_cell_length_a 5.8420
_cell_length_b 5.8420
_cell_length_c 5.8420
_cell_angle_alpha 90.00
_cell_angle_beta 90.00
_cell_angle_gamma 90.00
_space_group_name_H-M_alt 'P 1'
_space_group_IT_number 1
loop_
_space_group_symop_operation_xyz
'x,y,z'
loop_
_atom_site_label
_atom_site_type_symbol
_atom_site_fract_x
_atom_site_fract_y
_atom_site_fract_z
Y1 Y 0.0000 0.0000 0.0000
Sn1 Sn 0.0000 0.0000 0.5000
Sn2 Sn 0.0000 0.5000 0.0000
Sn3 Sn 0.5000 0.0000 0.0000
Te1 Te 0.5000 0.5000 0.5000
```

Most stable of them? version w.

Version w
Here is ZnSn2Te after structural relaxation from Alexandria. Energies are from PBE-GGA.

Properties
N(E_F) = 0.01 states/eV per cell
Space-group type = I-42d (122)
Density = 5.24 Mg/m³
M_tot = 0.00 μB/f.u.

Structure (CIF):
```
data_ZnSn2Te
_cell_length_a 6.4411
_cell_length_b 6.4411
_cell_length_c 13.1595
_cell_angle_alpha 90.00
_cell_angle_beta 90.00
_cell_angle_gamma 90.00
_space_group_name_H-M_alt 'P 1'
_space_group_IT_number 1
loop_
_space_group_symop_operation_xyz
'x,y,z'
loop_
_atom_site_label
_atom_site_type_symbol
_atom_site_fract_x
_atom_site_fract_y
_atom_site_fract_z
Zn1 Zn 0.0000 0.0000 0.0000
Zn2 Zn 0.0000 0.5000 0.2500
Zn3 Zn 0.5000 0.0000 0.7500
Zn4 Zn 0.5000 0.5000 0.5000
Sn1 Sn 0.2020 0.2500 0.1250
Sn2 Sn 0.2500 0.7020 0.3750
Sn3 Sn 0.2500 0.7980 0.8750
Sn4 Sn 0.2980 0.2500 0.6250
Sn5 Sn 0.7020 0.7500 0.6250
Sn6 Sn 0.7500 0.2020 0.8750
Sn7 Sn 0.7500 0.2980 0.3750
Sn8 Sn 0.7980 0.7500 0.1250
Te1 Te 0.0000 0.0000 0.5000
Te2 Te 0.0000 0.5000 0.7500
Te3 Te 0.5000 0.0000 0.2500
Te4 Te 0.5000 0.5000 0.0000
```

Version x
Here is ZnSn2Te after structural relaxation from Alexandria. Energies are from PBE-GGA.

Properties
N(E_F) = 10.19 states/eV per cell
Space-group type = Fm-3m (225)
Density = 6.69 Mg/m³
M_tot = 0.00 μB/f.u.

Structure (CIF):
```
data_ZnSn2Te
_cell_length_a 7.5341
_cell_length_b 7.5341
_cell_length_c 7.5341
_cell_angle_alpha 90.00
_cell_angle_beta 90.00
_cell_angle_gamma 90.00
_space_group_name_H-M_alt 'P 1'
_space_group_IT_number 1
loop_
_space_group_symop_operation_xyz
'x,y,z'
loop_
_atom_site_label
_atom_site_type_symbol
_atom_site_fract_x
_atom_site_fract_y
_atom_site_fract_z
Zn1 Zn 0.0000 0.0000 0.0000
Zn2 Zn 0.0000 0.5000 0.5000
Zn3 Zn 0.5000 0.0000 0.5000
Zn4 Zn 0.5000 0.5000 0.0000
Sn1 Sn 0.2500 0.2500 0.2500
Sn2 Sn 0.2500 0.2500 0.7500
Sn3 Sn 0.2500 0.7500 0.2500
Sn4 Sn 0.2500 0.7500 0.7500
Sn5 Sn 0.7500 0.2500 0.2500
Sn6 Sn 0.7500 0.2500 0.7500
Sn7 Sn 0.7500 0.7500 0.2500
Sn8 Sn 0.7500 0.7500 0.7500
Te1 Te 0.0000 0.0000 0.5000
Te2 Te 0.0000 0.5000 0.0000
Te3 Te 0.5000 0.0000 0.0000
Te4 Te 0.5000 0.5000 0.5000
```

Most stable of them? version w.